Entry 1:
Below is an optimized crystal structure of Ti3AlFe, with properties calculated at the GGA-PBE level.

Calculated values
N(E_F) (states/eV/atom): 2.22
E_form (eV/f.u.): 6.50
M_tot (μB/f.u.): 0.0

Lattice parameters (Å, degrees): 4.607 4.607 4.607 90.00 90.00 90.00
Positions (direct):
Ti  0.000  0.500  0.000
Ti  0.000  0.000  0.500
Ti  0.500  0.000  0.000
Al  0.000  0.000  0.000
Fe  0.500  0.500  0.500

---

Entry 2:
Below is an optimized crystal structure of TiAl6Fe, with properties calculated at the GGA-PBE level.

Calculated values
N(E_F) (states/eV/atom): 0.30
E_form (eV/f.u.): -0.98
M_tot (μB/f.u.): 0.0

Lattice parameters (Å, degrees): 5.384 6.464 5.384 53.11 73.79 62.28
Positions (direct):
Fe  0.500  0.500  0.000
Al  0.337  0.222  0.000
Al  0.778  0.222  0.440
Al  0.778  0.663  0.560
Al  0.222  0.337  0.440
Al  0.222  0.778  0.560
Al  0.663  0.778  0.000
Ti  0.000  0.000  0.000

---

Entry 3:
Below is an optimized crystal structure of Ti2AlFe2, with properties calculated at the GGA-PBE level.

Calculated values
N(E_F) (states/eV/atom): 1.41
E_form (eV/f.u.): -1.12
M_tot (μB/f.u.): 0.0

Lattice parameters (Å, degrees): 6.792 6.792 2.997 90.00 90.00 90.00
Positions (direct):
Ti  0.659  0.841  0.500
Ti  0.159  0.659  0.500
Ti  0.341  0.159  0.500
Ti  0.841  0.341  0.500
Al  0.000  0.000  0.000
Al  0.500  0.500  0.000
Fe  0.358  0.858  0.000
Fe  0.642  0.142  0.000
Fe  0.858  0.642  0.000
Fe  0.142  0.358  0.000

---

Entry 4:
Below is an optimized crystal structure of Ti3AlFe, with properties calculated at the GGA-PBE level.

Calculated values
N(E_F) (states/eV/atom): 1.84
E_form (eV/f.u.): 0.95
M_tot (μB/f.u.): 0.0

Lattice parameters (Å, degrees): 4.471 4.471 4.471 90.00 90.00 90.00
Positions (direct):
Ti  0.000  0.000  0.500
Ti  0.500  0.000  0.000
Ti  0.000  0.500  0.000
Al  0.500  0.500  0.500
Fe  0.000  0.000  0.000

---

Entry 5:
Below is an optimized crystal structure of TiAlFe, with properties calculated at the GGA-PBE level.

Calculated values
N(E_F) (states/eV/atom): 0.91
E_form (eV/f.u.): -0.67
M_tot (μB/f.u.): 1.6

Lattice parameters (Å, degrees): 4.062 2.763 7.836 102.86 90.00 90.00
Positions (direct):
Al  0.523  0.518  0.117
Al  0.023  0.766  0.554
Ti  0.023  0.947  0.932
Ti  0.523  0.337  0.740
Fe  0.523  0.302  0.412
Fe  0.023  0.982  0.259

---

Entry 6:
Below is an optimized crystal structure of TiAl5Fe6, with properties calculated at the GGA-PBE level.

Calculated values
N(E_F) (states/eV/atom): 1.13
E_form (eV/f.u.): -4.42
M_tot (μB/f.u.): 3.7

Lattice parameters (Å, degrees): 4.087 7.074 7.074 120.00 106.81 106.81
Positions (direct):
Al  0.000  0.334  0.666
Al  0.500  0.836  0.164
Al  0.000  0.666  0.334
Al  0.500  0.500  0.500
Al  0.500  0.164  0.836
Fe  0.253  0.083  0.422
Fe  0.755  0.256  0.256
Fe  0.245  0.744  0.744
Fe  0.747  0.578  0.917
Fe  0.747  0.917  0.578
Fe  0.253  0.422  0.083
Ti  0.000  0.000  0.000

---

Entry 7:
Below is an optimized crystal structure of Ti4Al2Fe, with properties calculated at the GGA-PBE level.

Calculated values
N(E_F) (states/eV/atom): 1.21
E_form (eV/f.u.): 1.53
M_tot (μB/f.u.): 0.0

Lattice parameters (Å, degrees): 4.309 4.309 7.649 73.64 73.64 90.00
Positions (direct):
Ti  0.172  0.172  0.655
Ti  0.500  0.000  0.000
Ti  0.828  0.828  0.345
Ti  0.000  0.500  0.000
Al  0.365  0.365  0.269
Al  0.635  0.635  0.731
Fe  0.000  0.000  0.000

---

Entry 8:
Below is an optimized crystal structure of Ti2AlFe3, with properties calculated at the GGA-PBE level.

Calculated values
N(E_F) (states/eV/atom): 1.18
E_form (eV/f.u.): -2.43
M_tot (μB/f.u.): 0.3

Lattice parameters (Å, degrees): 2.936 2.936 8.710 90.00 90.00 90.00
Positions (direct):
Ti  0.500  0.500  0.172
Ti  0.500  0.500  0.828
Al  0.500  0.500  0.500
Fe  0.000  0.000  0.666
Fe  0.000  0.000  0.000
Fe  0.000  0.000  0.334

---

Entry 9:
Below is an optimized crystal structure of TiAl3Fe4, with properties calculated at the GGA-PBE level.

Calculated values
N(E_F) (states/eV/atom): 1.15
E_form (eV/f.u.): -2.87
M_tot (μB/f.u.): 2.1

Lattice parameters (Å, degrees): 2.909 2.909 11.473 90.00 90.00 90.00
Positions (direct):
Fe  0.000  0.000  0.873
Fe  0.000  0.000  0.623
Fe  0.000  0.000  0.127
Fe  0.000  0.000  0.377
Al  0.500  0.500  0.251
Al  0.500  0.500  0.500
Al  0.500  0.500  0.749
Ti  0.500  0.500  0.000

---

Entry 10:
Below is an optimized crystal structure of TiAl3Fe8, with properties calculated at the GGA-PBE level.

Calculated values
N(E_F) (states/eV/atom): 1.17
E_form (eV/f.u.): -2.41
M_tot (μB/f.u.): 11.9

Lattice parameters (Å, degrees): 4.726 4.726 7.670 90.00 90.00 120.00
Positions (direct):
Fe  0.504  0.007  0.750
Fe  0.163  0.327  0.249
Fe  0.163  0.837  0.249
Fe  0.504  0.496  0.750
Fe  0.993  0.496  0.750
Fe  0.333  0.667  0.500
Fe  0.333  0.667  0.998
Fe  0.673  0.837  0.249
Al  0.000  0.000  0.937
Al  0.667  0.333  0.062
Al  0.667  0.333  0.437
Ti  0.000  0.000  0.568

---

Entry 11:
Below is an optimized crystal structure of Ti4AlFe, with properties calculated at the GGA-PBE level.

Calculated values
N(E_F) (states/eV/atom): 0.84
E_form (eV/f.u.): 0.89
M_tot (μB/f.u.): 0.0

Lattice parameters (Å, degrees): 4.115 4.116 6.372 89.91 89.95 90.00
Positions (direct):
Fe  0.001  0.997  0.498
Ti  0.502  0.998  0.719
Ti  0.002  0.498  0.719
Ti  0.501  0.997  0.277
Ti  0.001  0.497  0.277
Al  0.501  0.497  0.998

---

Entry 12:
Below is an optimized crystal structure of TiAlFe, with properties calculated at the GGA-PBE level.

Calculated values
N(E_F) (states/eV/atom): 0.89
E_form (eV/f.u.): -1.11
M_tot (μB/f.u.): 1.0

Lattice parameters (Å, degrees): 4.910 4.910 8.050 90.00 90.00 119.05
Positions (direct):
Fe  0.835  0.165  0.000
Fe  0.646  0.830  0.500
Fe  0.167  0.833  0.500
Fe  0.170  0.354  0.500
Al  0.990  0.010  0.259
Al  0.347  0.165  0.000
Al  0.835  0.653  0.000
Al  0.990  0.010  0.741
Ti  0.668  0.332  0.675
Ti  0.335  0.665  0.798
Ti  0.335  0.665  0.202
Ti  0.668  0.332  0.325